Compound: AsS2BrN
Source: Alexandria via LeMat-Bulk
Functional: GGA-PBE
Structure: optimized geometry

a = 4.1277 Å, b = 4.1277 Å, c = 4.9158 Å
α = 90.00°, β = 90.00°, γ = 90.00°
Fractional positions:
As  0.0000  0.0000  0.5000
S  0.0000  0.5000  0.0000
S  0.5000  0.0000  0.0000
Br  0.5000  0.5000  0.5000
N  0.0000  0.0000  0.0000

Calculated values
Total energy in eV/atom: -3.39
DOS at the Fermi energy in states/eV/f.u.: 2.86
E above lowest polymorph in eV per atom: 0.0481
ΔE_f (raw) in kJ/mol of atoms: 115